# 1
HfAsPdO | PBE | relaxed

abc: 5.3646 5.3646 4.5618
angles: 90.00 90.00 90.00
Closest atoms and distances in Å follow each position.
Element x y z (fractional)
Hf: 0.2500 0.7500 0.0000  2 O 2.28
Hf: 0.7500 0.2500 0.0000  2 O 2.28
As: 0.2500 0.2500 0.0518  2 Pd 2.28
As: 0.7500 0.7500 0.9482  2 Pd 2.28
Pd: 0.2500 0.2500 0.5523  2 As 2.28
Pd: 0.7500 0.7500 0.4477  2 As 2.28
O: 0.2500 0.7500 0.5000  2 Hf 2.28
O: 0.7500 0.2500 0.5000  2 Hf 2.28

Computed properties:
Energy above the most stable polymorph in this dataset: 597 meV per atom

***

# 2
YGeTe2AuS | PBE | relaxed

abc: 7.6317 7.6317 10.0356
angles: 90.00 90.00 148.36
Closest atoms and distances in Å follow each position.
Element x y z (fractional)
Y: 0.0000 0.0000 0.0000  2 S 2.77
Y: 0.0000 0.0000 0.5000  2 S 2.77
Ge: 0.2376 0.7624 0.7500  4 Te 3.07, 2 S 3.39
Ge: 0.7624 0.2376 0.2500  4 Te 3.07, 2 S 3.39
Te: 0.3423 0.6577 0.0582  1 Au 2.82, 2 Ge 3.07
Te: 0.3423 0.6577 0.4418  1 Au 2.82, 2 Ge 3.07
Te: 0.6577 0.3423 0.5582  1 Au 2.82, 2 Ge 3.07
Te: 0.6577 0.3423 0.9418  1 Au 2.82, 2 Ge 3.07
Au: 0.4826 0.5174 0.2500  2 S 2.53, 2 Te 2.82
Au: 0.5174 0.4826 0.7500  2 S 2.53, 2 Te 2.82
S: 0.0804 0.9196 0.2500  2 Au 2.53, 2 Y 2.77
S: 0.9196 0.0804 0.7500  2 Au 2.53, 2 Y 2.77

Computed properties:
Raw total energy: -56.58 eV for the cell shown